1.
KAg3Pd (PBE-GGA, relaxed); excess energy over the best structure of this formula in the dataset = 1349 meV per atom; D(E_F) = 1.8 states/eV per cell; calculated total energy = -1.5951 eV per atom; DFT formation energy = 1373.7 meV/atom
1.0
-4.6543 2.4522 0.5178
-0.8966 -0.6092 -5.1739
-2.3404 -4.6432 0.9523
K Pd Ag
1 1 3
Direct
0.0000 0.0000 0.0000
0.5000 0.5000 0.5000
0.0000 0.5000 0.0000
0.0000 0.0000 0.5000
0.5000 0.0000 0.0000

=====

2.
KAg2Pd3 (PBE-GGA, relaxed); D(E_F) = 7.3 states/eV per cell; calculated total energy = -3.6358 eV per atom; DFT formation energy = 94.0 meV/atom
1.0
5.4055 0.0000 0.0000
0.0000 6.9646 -1.1447
0.0000 0.2957 7.0518
K Ag Pd
2 4 6
Direct
0.2500 0.3100 0.3100
0.7500 0.6900 0.6900
0.5000 0.7755 0.2245
0.0000 0.7755 0.2245
0.0000 0.2245 0.7755
0.5000 0.2245 0.7755
0.7500 0.4596 0.0495
0.7500 0.0495 0.4596
0.2500 0.5404 0.9505
0.7500 0.0676 0.0676
0.2500 0.9324 0.9324
0.2500 0.9505 0.5404

=====

3.
KAg6Pd6 (PBE-GGA, relaxed); D(E_F) = 5.5 states/eV per cell; calculated total energy = -3.8163 eV per atom; DFT formation energy = -19.2 meV/atom
1.0
1.1081 -4.0169 3.3810
3.4773 -5.3928 -3.2883
6.3826 0.8967 3.2318
K Ag Pd
1 6 6
Direct
0.0000 0.0000 0.0000
0.3517 0.6483 0.6483
0.6483 0.3517 0.3517
0.0000 0.3494 0.6506
0.0000 0.6506 0.3494
0.2889 0.2111 0.2111
0.7111 0.7889 0.7889
0.0000 0.5000 0.0000
0.5000 0.5000 0.0000
0.0000 0.0000 0.5000
0.5000 0.0000 0.5000
0.5000 0.7662 0.2338
0.5000 0.2338 0.7662

=====

4.
KAg8Pd4 (PBE-GGA, relaxed); excess energy over the best structure of this formula in the dataset = 326 meV per atom; D(E_F) = 4.4 states/eV per cell; calculated total energy = -3.1330 eV per atom; DFT formation energy = 303.8 meV/atom
1.0
6.2065 -1.7171 -1.2252
1.4873 6.2655 -1.2252
1.4873 0.8793 6.3233
K Ag Pd
1 8 4
Direct
0.0000 0.0000 0.0000
0.7377 0.2618 0.2618
0.2618 0.2618 0.7377
0.2618 0.7377 0.2618
0.2619 0.2619 0.2619
0.7381 0.7381 0.7381
0.7382 0.7382 0.2623
0.7382 0.2623 0.7382
0.2623 0.7382 0.7382
0.5000 0.5000 0.5000
0.5000 0.5000 0.0000
0.0000 0.5000 0.5000
0.5000 0.0000 0.5000